An optimized crystal structure of Y3Ho2Er, computed with PBE-GGA.

Summary:
- Crystal system: orthorhombic
- Energy relative to the lowest polymorph listed for this composition: 377.3 meV/atom
- Density of states at the Fermi level: 12.0 states/eV/f.u.
- Total magnetization: 0.42 Bohr magnetons per cell
- ΔH_f (0 K): 0.4032 eV per atom
- Raw total energy: -5.1153 eV/atom

a = 10.2069 Å, b = 10.2069 Å, c = 10.2069 Å
α = 160.18°, β = 146.78°, γ = 38.98°
Atoms (fractional coordinates):
Y1 0.0000 0.0000 0.0000
Y2 0.3085 0.8085 0.5000
Y3 0.6915 0.1915 0.5000
Ho1 0.1373 0.6373 0.5000
Ho2 0.8627 0.3627 0.5000
Er1 0.5000 0.0000 0.5000

***

An optimized crystal structure of Y2CrBr, computed with PBE-GGA.

Summary:
- Crystal system: trigonal
- Energy relative to the lowest polymorph listed for this composition: 83.3 meV/atom
- Density of states at the Fermi level: 2.0 states/eV/f.u.
- Total magnetization: 3.31 Bohr magnetons per cell
- Formation energy (no corrections): -0.94 eV/f.u.
- Raw total energy: -6.2922 eV/atom

a = 8.7488 Å, b = 8.7488 Å, c = 8.7488 Å
α = 24.89°, β = 24.89°, γ = 24.89°
Atoms (fractional coordinates):
Y1 0.2436 0.2436 0.2436
Y2 0.7564 0.7564 0.7564
Cr1 0.5000 0.5000 0.5000
Br1 0.0000 0.0000 0.0000

***

An optimized crystal structure of Er6Cu2Rh, computed with PBE-GGA.

Summary:
- Crystal system: orthorhombic
- Density of states at the Fermi level: 6.9 states/eV/f.u.
- Total magnetization: 0.00 Bohr magnetons per cell
- ΔH_f (0 K): -0.3277 eV per atom
- Raw total energy: -5.0967 eV/atom

a = 8.2123 Å, b = 8.2123 Å, c = 8.2123 Å
α = 110.27°, β = 110.01°, γ = 108.14°
Atoms (fractional coordinates):
Er1 0.0684 0.2443 0.8241
Er2 0.2051 0.5314 0.3263
Er3 0.2051 0.8789 0.6737
Er4 0.3140 0.2386 0.5526
Er5 0.3140 0.7614 0.0754
Er6 0.4202 0.2443 0.1759
Er7 0.5798 0.7557 0.8241
Er8 0.6860 0.2386 0.9246
Er9 0.6860 0.7614 0.4474
Er10 0.7949 0.1211 0.3263
Er11 0.7949 0.4686 0.6737
Er12 0.9316 0.7557 0.1759
Cu1 0.0000 0.1227 0.1227
Cu2 0.0000 0.8773 0.8773
Cu3 0.1466 0.5000 0.6466
Cu4 0.8534 0.5000 0.3534
Rh1 0.5000 0.0000 0.5000
Rh2 0.5000 0.5000 0.0000

***

An optimized crystal structure of YFeOs2, computed with PBE-GGA.

Summary:
- Crystal system: monoclinic
- Energy relative to the lowest polymorph listed for this composition: 175.0 meV/atom
- Density of states at the Fermi level: 4.4 states/eV/f.u.
- Total magnetization: 2.81 Bohr magnetons per cell
- ΔH_f (0 K): 0.4074 eV per atom
- Raw total energy: -8.9391 eV/atom

a = 5.3553 Å, b = 5.3553 Å, c = 2.8320 Å
α = 102.31°, β = 102.31°, γ = 118.40°
Atoms (fractional coordinates):
Y1 0.0000 0.0000 0.0000
Fe1 0.5000 0.5000 0.0000
Os1 0.0000 0.5000 0.5000
Os2 0.5000 0.0000 0.5000

***

Copy entry 2 word for word.
An optimized crystal structure of Y2CrBr, computed with PBE-GGA.

Summary:
- Crystal system: trigonal
- Energy relative to the lowest polymorph listed for this composition: 83.3 meV/atom
- Density of states at the Fermi level: 2.0 states/eV/f.u.
- Total magnetization: 3.31 Bohr magnetons per cell
- Formation energy (no corrections): -0.94 eV/f.u.
- Raw total energy: -6.2922 eV/atom

a = 8.7488 Å, b = 8.7488 Å, c = 8.7488 Å
α = 24.89°, β = 24.89°, γ = 24.89°
Atoms (fractional coordinates):
Y1 0.2436 0.2436 0.2436
Y2 0.7564 0.7564 0.7564
Cr1 0.5000 0.5000 0.5000
Br1 0.0000 0.0000 0.0000